Record 1
This record from Alexandria describes a geometry-optimized Ac2LaTbTm structure. The functional is PBE-GGA.

```
Ac2LaTbTm
1.0
-5.125 3.716 2.245
-0.777 -5.391 7.147
4.152 3.742 3.274
Ac La Tb Tm
4 2 2 2
Direct
0.283 0.704 0.250
0.283 0.296 0.250
0.717 0.296 0.750
0.717 0.704 0.750
0.577 0.000 0.250
0.423 0.000 0.750
0.190 0.500 0.750
0.810 0.500 0.250
0.000 0.000 0.500
0.000 0.000 0.000
```

SG = Pmma (51)
formation enthalpy at 0 K = 0.254 eV/atom

***

Record 2
This record from Alexandria describes a geometry-optimized KCoAs2 structure. The functional is PBE-GGA.

```
KCoAs2
1.0
5.533 0.037 -0.009
0.135 5.531 0.009
-1.540 -4.101 3.380
As Co K
2 1 1
Direct
0.098 0.098 0.000
0.402 0.402 0.000
0.250 0.750 0.500
0.750 0.250 0.500
```

SG = Immm (71)
distance to the lowest polymorph of the same formula = 204 meV/atom
formation enthalpy at 0 K = -0.038 eV/atom

***

Record 3
This record from Alexandria describes a geometry-optimized SrCd2Ga4 structure. The functional is PBE-GGA.

```
SrCd2Ga4
1.0
4.183 0.000 -0.954
-0.235 4.412 -1.031
-0.165 -0.256 8.926
Ga Sr Cd
4 1 2
Direct
0.339 0.339 0.677
0.661 0.661 0.323
0.924 0.424 0.848
0.076 0.576 0.152
0.500 0.000 0.000
0.822 0.822 0.644
0.178 0.178 0.356
```

SG = Immm (71)
formation enthalpy at 0 K = -0.213 eV/atom

***

Record 4
This record from Alexandria describes a geometry-optimized Hf2ZrCd4 structure. The functional is PBE-GGA.

```
Hf2ZrCd4
1.0
3.012 0.000 0.000
0.000 4.873 -1.960
0.000 1.332 10.347
Hf Cd Zr
2 4 1
Direct
0.500 0.785 0.570
0.500 0.215 0.430
0.000 0.924 0.849
0.500 0.636 0.272
0.000 0.076 0.151
0.500 0.364 0.728
0.000 0.500 0.000
```

SG = Cmmm (65)
formation enthalpy at 0 K = 0.301 eV/atom

***

Record 5
This record from Alexandria describes a geometry-optimized CuP2Ir structure. The functional is PBE-GGA.

```
CuP2Ir
1.0
-0.434 1.584 2.327
-2.026 -1.810 0.854
5.165 -4.031 3.709
Ir P Cu
1 2 1
Direct
0.500 0.500 0.761
0.000 0.000 0.936
0.500 0.500 0.310
0.000 0.000 0.493
```

SG = P4mm (99)
distance to the lowest polymorph of the same formula = 249 meV/atom
formation enthalpy at 0 K = 0.101 eV/atom

***

Record 6
This record from Alexandria describes a geometry-optimized Th3PSe2 structure. The functional is PBE-GGA.

```
Th3PSe2
1.0
-6.590 -0.731 2.940
-2.579 -6.586 1.529
0.574 0.135 7.237
Th Se P
6 4 2
Direct
0.575 0.345 0.238
0.080 0.345 0.762
0.268 0.000 0.233
0.920 0.655 0.238
0.425 0.655 0.762
0.732 0.000 0.767
0.161 0.677 0.500
0.000 0.000 0.000
0.500 0.000 0.500
0.839 0.323 0.500
0.332 0.336 0.000
0.668 0.664 0.000
```

SG = C2/m (12)
ΔE_f (raw) = -1588.4 meV/atom

***

Record 7
This record from Alexandria describes a geometry-optimized BaNiGe2Ir structure. The functional is PBE-GGA.

```
BaNiGe2Ir
1.0
-0.595 1.230 -3.839
-2.760 -2.953 -0.518
-2.971 4.855 4.179
Ge Ni Ba Ir
2 1 1 1
Direct
0.647 0.647 0.293
0.353 0.353 0.707
0.250 0.750 0.500
0.000 0.000 0.000
0.750 0.250 0.500
```

SG = I-4m2 (119)
formation enthalpy at 0 K = -0.506 eV/atom

***

Record 8
This record from Alexandria describes a geometry-optimized Ba3ZrCd2O8 structure. The functional is PBE-GGA.

```
Ba3ZrCd2O8
1.0
6.090 0.000 0.000
-3.045 5.274 0.000
0.000 0.000 7.966
O Zr Ba Cd
8 1 3 2
Direct
0.841 0.159 0.659
0.318 0.159 0.659
0.667 0.333 0.064
0.159 0.841 0.341
0.841 0.682 0.659
0.333 0.667 0.936
0.682 0.841 0.341
0.159 0.318 0.341
0.000 0.000 0.500
0.667 0.333 0.374
0.000 0.000 0.000
0.333 0.667 0.626
0.333 0.667 0.193
0.667 0.333 0.807
```

SG = P-3m1 (164)
ΔE_f (raw) = -1967.9 meV/atom

***

Record 9
This record from Alexandria describes a geometry-optimized Nd2Dy2S3 structure. The functional is PBE-GGA.

```
Nd2Dy2S3
1.0
-1.851 -3.175 -1.326
6.515 -1.762 0.863
-2.314 -1.313 6.381
Nd S Dy
2 3 2
Direct
0.874 0.751 0.619
0.126 0.249 0.381
0.000 0.000 0.000
0.751 0.502 0.238
0.249 0.498 0.762
0.372 0.744 0.114
0.628 0.256 0.886
```

SG = P-1 (2)
ΔE_f (raw) = -1717.8 meV/atom

***

Record 10
This record from Alexandria describes a geometry-optimized Sm6Dy12Er structure. The functional is PBE-GGA.

```
Sm6Dy12Er
1.0
-1.884 6.183 -5.836
-6.492 1.477 5.613
6.377 4.124 4.262
Dy Sm Er
12 6 1
Direct
0.500 0.242 0.758
0.644 0.917 0.644
0.500 0.758 0.242
0.242 0.500 0.758
0.644 0.644 0.917
0.356 0.083 0.356
0.242 0.758 0.500
0.917 0.644 0.644
0.356 0.356 0.083
0.083 0.356 0.356
0.758 0.242 0.500
0.758 0.500 0.242
0.904 0.342 0.904
0.096 0.658 0.096
0.658 0.096 0.096
0.342 0.904 0.904
0.904 0.904 0.342
0.096 0.096 0.658
0.000 0.000 0.000
```

SG = R-3m (166)
distance to the lowest polymorph of the same formula = 37 meV/atom
formation enthalpy at 0 K = 0.213 eV/atom

***

Record 11
This record from Alexandria describes a geometry-optimized TaMoW4 structure. The functional is PBE-GGA.

```
TaMoW4
1.0
-2.277 0.307 3.900
1.530 -5.147 1.299
6.426 2.808 3.530
W Mo Ta
8 2 2
Direct
0.250 0.665 0.581
0.250 0.166 0.583
0.750 0.335 0.419
0.750 0.499 0.749
0.250 0.501 0.251
0.250 0.002 0.255
0.750 0.998 0.745
0.750 0.834 0.417
0.750 0.667 0.086
0.250 0.333 0.914
0.750 0.168 0.083
0.250 0.832 0.917
```

SG = P2_1/m (11)
distance to the lowest polymorph of the same formula = 0 meV/atom
formation enthalpy at 0 K = -0.092 eV/atom

***

Record 12
This record from Alexandria describes a geometry-optimized HoTlAg2 structure. The functional is PBE-GGA.

```
HoTlAg2
1.0
4.402 0.000 0.000
0.000 4.554 0.000
0.000 0.000 4.554
Ag Tl Ho
2 1 1
Direct
0.000 0.000 0.500
0.000 0.500 0.000
0.500 0.000 0.000
0.500 0.500 0.500
```

SG = P4/mmm (123)
formation enthalpy at 0 K = -0.132 eV/atom

***

Record 13
This record from Alexandria describes a geometry-optimized CaP2CCl structure. The functional is PBE-GGA.

```
CaP2CCl
1.0
-2.117 2.701 -4.338
-5.079 -0.595 2.108
0.517 4.401 2.488
P Cl C Ca
2 1 1 1
Direct
0.000 0.500 0.000
0.500 0.000 0.000
0.000 0.000 0.500
0.500 0.500 0.500
0.000 0.000 0.000
```

SG = P4/mmm (123)
distance to the lowest polymorph of the same formula = 1764 meV/atom
ΔE_f (raw) = 1877.7 meV/atom

***

Record 14
This record from Alexandria describes a geometry-optimized LuPuOsRu structure. The functional is PBE-GGA.

```
LuPuOsRu
1.0
-0.673 2.912 3.684
0.842 -1.524 4.413
3.726 1.669 2.416
Ru Pu Os Lu
1 1 1 1
Direct
0.750 0.750 0.750
0.000 0.000 0.000
0.250 0.250 0.250
0.500 0.500 0.500
```

SG = F-43m (216)
formation enthalpy at 0 K = -0.248 eV/atom

***

Record 15
This record from Alexandria describes a geometry-optimized BaCaRe2 structure. The functional is PBE-GGA.

```
BaCaRe2
1.0
0.000 3.630 3.630
3.630 0.000 3.630
3.630 3.630 0.000
Ba Re Ca
1 2 1
Direct
0.500 0.500 0.500
0.250 0.250 0.250
0.750 0.750 0.750
0.000 0.000 0.000
```

SG = Fm-3m (225)
distance to the lowest polymorph of the same formula = 1396 meV/atom
formation enthalpy at 0 K = 1.748 eV/atom

***

Record 16
This record from Alexandria describes a geometry-optimized Y3In2Ni structure. The functional is PBE-GGA.

```
Y3In2Ni
1.0
-3.877 -0.400 -0.458
1.929 -7.308 -9.948
0.166 -10.279 7.583
In Y Ni
8 12 4
Direct
0.750 0.310 0.501
0.750 0.510 0.186
0.250 0.690 0.499
0.250 0.490 0.814
0.250 0.010 0.314
0.250 0.810 0.999
0.750 0.190 0.001
0.750 0.990 0.686
0.750 0.534 0.621
0.250 0.777 0.741
0.750 0.277 0.759
0.750 0.223 0.259
0.250 0.723 0.241
0.250 0.466 0.379
0.250 0.123 0.542
0.750 0.966 0.121
0.750 0.623 0.958
0.250 0.377 0.042
0.250 0.034 0.879
0.750 0.877 0.458
0.250 0.370 0.634
0.750 0.630 0.366
0.250 0.130 0.134
0.750 0.870 0.866
```

SG = Pnma (62)
formation enthalpy at 0 K = -0.423 eV/atom

***

Record 17
This record from Alexandria describes a geometry-optimized La2Sb2Pd15 structure. The functional is PBE-GGA.

```
La2Sb2Pd15
1.0
7.101 0.036 0.033
0.957 7.037 0.033
0.957 0.840 6.986
Pd La Sb
15 2 2
Direct
0.662 0.662 0.166
0.662 0.166 0.662
0.000 0.500 0.000
0.327 0.673 0.000
0.166 0.662 0.662
0.000 0.673 0.327
0.834 0.338 0.338
0.338 0.834 0.338
0.673 0.327 0.000
0.338 0.338 0.834
0.500 0.000 0.000
0.000 0.000 0.500
0.327 0.000 0.673
0.673 0.000 0.327
0.000 0.327 0.673
0.351 0.351 0.351
0.649 0.649 0.649
0.897 0.897 0.897
0.103 0.103 0.103
```

SG = R-3m (166)
ΔE_f (raw) = -422.9 meV/atom

***

Record 18
This record from Alexandria describes a geometry-optimized TbEuCdGe structure. The functional is PBE-GGA.

```
TbEuCdGe
1.0
-3.377 3.780 1.424
-2.306 -0.176 4.729
1.352 3.473 3.718
Eu Cd Tb Ge
1 1 1 1
Direct
0.000 0.000 0.000
0.750 0.750 0.750
0.500 0.500 0.500
0.250 0.250 0.250
```

SG = F-43m (216)
formation enthalpy at 0 K = -0.458 eV/atom

***

In states/eV per cell, the density of states at the Fermi level values for the records above are, in order, 11.9 3.3 3.1 5.4 1.6 7.7 2.8 12.9 3.3 31.4 4.2 2.7 5.8 3.5 5.2 20.6 20.2 2.8.